No. 1
DFT (PBE) results for Dy3Co2Si4 after structural relaxation.

abc: 3.915 5.703 8.026
angles: 100.08 90.00 110.07
Sites, in units of the cell vectors:
Si1 0.944 0.889 0.620
Co1 0.393 0.786 0.723
Dy1 0.666 0.332 0.659
Si2 0.056 0.111 0.380
Dy2 0.000 0.000 0.000
Si3 0.282 0.564 0.932
Si4 0.718 0.436 0.068
Dy3 0.334 0.668 0.341
Co2 0.607 0.214 0.277

Calculated values
- ΔE_f (raw): -723 meV/atom
- Raw total energy: -56.22 eV for the cell shown
- SG: C2/m


No. 2
DFT (PBE) results for DyCo4Si12 after structural relaxation.

abc: 6.940 6.940 6.940
angles: 109.47 109.47 109.47
Sites, in units of the cell vectors:
Si1 0.833 0.652 0.486
Si2 0.819 0.167 0.652
Si3 0.514 0.167 0.348
Co1 0.500 0.500 0.500
Si4 0.181 0.833 0.348
Si5 0.486 0.833 0.652
Co2 0.500 0.000 0.000
Co3 0.000 0.000 0.500
Si6 0.652 0.819 0.167
Co4 0.000 0.500 0.000
Si7 0.167 0.652 0.819
Si8 0.348 0.514 0.167
Si9 0.652 0.486 0.833
Si10 0.167 0.348 0.514
Si11 0.833 0.348 0.181
Dy1 0.000 0.000 0.000
Si12 0.348 0.181 0.833

Calculated values
- ΔE_f (raw): -163 meV/atom
- Raw total energy: -100.88 eV for the cell shown
- SG: Im-3


No. 3
DFT (PBE) results for DyCoSi2 after structural relaxation.

abc: 3.936 6.731 9.754
angles: 90.00 90.00 90.00
Sites, in units of the cell vectors:
Co1 0.250 0.508 0.885
Si1 0.250 0.343 0.682
Si2 0.750 0.157 0.182
Si3 0.750 0.183 0.574
Dy1 0.250 0.846 0.126
Dy2 0.750 0.154 0.874
Si4 0.750 0.683 0.926
Si5 0.250 0.317 0.074
Co2 0.250 0.008 0.615
Si6 0.250 0.843 0.818
Dy3 0.250 0.346 0.374
Dy4 0.750 0.654 0.626
Si7 0.750 0.657 0.318
Co3 0.750 0.492 0.115
Si8 0.250 0.817 0.426
Co4 0.750 0.992 0.385

Calculated values
- ΔE_f (raw): -777 meV/atom
- Raw total energy: -102.65 eV for the cell shown
- SG: Pnma


No. 4
DFT (PBE) results for DyCo3Si after structural relaxation.

abc: 4.395 8.781 8.781
angles: 150.17 90.00 90.00
Sites, in units of the cell vectors:
Co1 0.250 0.485 0.031
Co2 0.750 0.515 0.969
Si1 0.750 0.885 0.115
Co3 0.750 0.031 0.485
Si2 0.250 0.115 0.885
Co4 0.500 0.000 0.000
Co5 0.250 0.969 0.515
Dy1 0.750 0.602 0.398
Co6 0.000 0.000 0.000
Dy2 0.250 0.398 0.602

Calculated values
- ΔE_f (raw): -38 meV/atom
- Raw total energy: -63.07 eV for the cell shown
- SG: Cmcm